[1]
Computed, not measured: crystalline NaAg2Bi at its relaxed geometry at the PBE-GGA level of DFT.

Its density is 8.30 g cm⁻³. The density of states at the Fermi level comes out at 0.52 states/eV/atom. For the formation energy, the calculation gives -12.2 meV per atom.

It has space group R3m (No. 160, hexagonal axes), with a = 5.0246 Å, b = 5.0246 Å, c = 12.2854 Å, α = 90.00°, β = 90.00° and γ = 120.00°. The asymmetric unit holds Na at (0.0000, 0.0000, 0.0000), Ag at (0.0000, 0.0000, 0.2506), Ag at (0.0000, 0.0000, 0.5001) and Bi at (0.0000, 0.0000, 0.7496).


[2]
Computed, not measured: crystalline Na2Ag4Bi5 at its relaxed geometry at the PBE-GGA level of DFT.

Its density is 8.22 g cm⁻³. The density of states at the Fermi level comes out at 0.41 states/eV/atom. For the formation energy, the calculation gives -16.4 meV per atom.

It has space group C2/m (No. 12), with a = 13.574 Å, b = 6.632 Å, c = 9.445 Å, α = 90.00°, β = 133.68° and γ = 90.00°. The asymmetric unit holds Na at (0.198, 0.000, 0.201), Ag at (0.249, 0.500, 0.075), Ag at (0.249, 0.500, 0.418), Bi at (0.000, 0.254, 0.322) and Bi at (0.000, 0.500, 0.000).


[3]
Computed, not measured: crystalline NaAgBi2 at its relaxed geometry at the PBE-GGA level of DFT.

Its density is 7.76 g cm⁻³. The relative energy among the computed polymorphs comes out at 61 meV per atom. The density of states at the Fermi level comes out at 0.33 states/eV/atom. For the formation energy, the calculation gives -32.9 meV per atom.

It has space group R3m (No. 160, hexagonal axes), with a = 4.9542 Å, b = 4.9542 Å, c = 16.5810 Å, α = 90.00°, β = 90.00° and γ = 120.00°. The asymmetric unit holds Na at (0.0000, 0.0000, 0.0000), Ag at (0.0000, 0.0000, 0.8151), Bi at (0.0000, 0.0000, 0.2245) and Bi at (0.0000, 0.0000, 0.4209).


[4]
Computed, not measured: crystalline NaAgBi2 at its relaxed geometry at the PBE-GGA level of DFT.

Its density is 7.33 g cm⁻³. The relative energy among the computed polymorphs comes out at 148 meV per atom. The density of states at the Fermi level comes out at 0.58 states/eV/atom. For the formation energy, the calculation gives 53.7 meV per atom.

It has space group R-3m (No. 166, hexagonal axes), with a = 4.4074 Å, b = 4.4074 Å, c = 22.1788 Å, α = 90.00°, β = 90.00° and γ = 120.00°. The asymmetric unit holds Na at (0.0000, 0.0000, 0.0000), Ag at (0.0000, 0.0000, 0.5000) and Bi at (0.0000, 0.0000, 0.2286).


[5]
Computed, not measured: crystalline Na4Ag2Bi at its relaxed geometry at the PBE-GGA level of DFT.

Its density is 3.28 g cm⁻³. The density of states at the Fermi level comes out at 0.69 states/eV/atom. For the formation energy, the calculation gives 136.0 meV per atom.

It has space group I4/mmm (No. 139), with a = 5.964 Å, b = 5.964 Å, c = 14.726 Å, α = 90.00°, β = 90.00° and γ = 90.00°. The asymmetric unit holds Na at (0.000, 0.000, 0.206), Na at (0.000, 0.500, 0.000), Ag at (0.000, 0.000, 0.406) and Bi at (0.000, 0.000, 0.000).


[6]
Computed, not measured: crystalline Na3AgBi at its relaxed geometry at the PBE-GGA level of DFT.

Its density is 3.90 g cm⁻³. The relative energy among the computed polymorphs comes out at 234 meV per atom. The density of states at the Fermi level comes out at 0.90 states/eV/atom. For the formation energy, the calculation gives 112.7 meV per atom.

It has space group Pm-3m (No. 221), with a = 5.475 Å, b = 5.475 Å, c = 5.475 Å, α = 90.00°, β = 90.00° and γ = 90.00°. The asymmetric unit holds Na at (0.000, 0.000, 0.500), Ag at (0.000, 0.000, 0.000) and Bi at (0.500, 0.500, 0.500).


The records above give, respectively, total magnetic moment values of 0.00 0.00 0.00 0.00 0.00 0.00 Bohr magnetons per cell.